1.
This record from the Alexandria database describes a relaxed Tb4HgPd2 crystal. The functional is PBE-GGA.

```
Tb4HgPd2
1.0
2.352 1.358 9.919
-2.352 1.358 9.919
0.000 -2.716 9.919
Tb Hg Pd
4 1 2
Cartesian
0.000 0.000 3.419
0.000 0.000 8.868
0.000 0.000 20.889
0.000 0.000 26.339
0.000 0.000 14.879
0.000 0.000 11.913
0.000 0.000 17.845
```

* total magnetic moment: 0.000 μB per cell
* space group: R-3m (166)
* formation energy: -3.47 eV per formula unit
* VASP energy: -32.68 eV for the cell shown
* relative energy among the computed polymorphs: 70 meV per atom

***

2.
This record from the Alexandria database describes a relaxed Tb2Hg3Pd4 crystal. The functional is PBE-GGA.

```
Tb2Hg3Pd4
1.0
4.053 -2.492 0.000
4.053 2.492 0.000
-1.050 0.000 8.923
Tb Hg Pd
2 3 4
Cartesian
0.994 0.000 2.494
6.061 0.000 6.429
0.548 0.000 8.210
3.528 0.000 4.462
6.507 0.000 0.713
0.739 0.000 5.356
3.755 0.000 1.467
3.301 0.000 7.456
6.317 0.000 3.568
```

* total magnetic moment: 0.000 μB per cell
* space group: C2/m (12)
* formation energy: -5.27 eV per formula unit
* VASP energy: -36.21 eV for the cell shown
* relative energy among the computed polymorphs: 6 meV per atom

***

3.
This record from the Alexandria database describes a relaxed Tb2HgPd4 crystal. The functional is PBE-GGA.

```
Tb2HgPd4
1.0
4.088 0.000 0.000
0.000 4.088 0.000
0.000 0.000 18.337
Tb Hg Pd
4 2 8
Cartesian
0.000 0.000 2.392
0.000 0.000 15.945
2.044 2.044 6.776
2.044 2.044 11.560
0.000 0.000 9.168
2.044 2.044 0.000
0.000 0.000 6.495
0.000 0.000 11.841
0.000 2.044 4.584
0.000 2.044 13.752
2.044 0.000 4.584
2.044 0.000 13.752
2.044 2.044 2.673
2.044 2.044 15.664
```

* total magnetic moment: 0.000 μB per cell
* space group: I4/mmm (139)
* formation energy: -4.92 eV per formula unit
* VASP energy: -70.52 eV for the cell shown
* relative energy among the computed polymorphs: 0 meV per atom

***

4.
This record from the Alexandria database describes a relaxed TbHg2Pd crystal. The functional is PBE-GGA.

```
TbHg2Pd
1.0
4.618 0.000 0.000
0.000 4.618 0.000
0.000 0.000 16.845
Tb Hg Pd
4 8 4
Cartesian
0.000 0.000 2.382
0.000 0.000 14.464
2.309 2.309 6.041
2.309 2.309 10.805
0.000 0.000 5.998
0.000 0.000 10.848
0.000 2.309 0.000
0.000 2.309 8.423
2.309 0.000 0.000
2.309 0.000 8.423
2.309 2.309 2.425
2.309 2.309 14.420
0.000 2.309 4.211
0.000 2.309 12.634
2.309 0.000 4.211
2.309 0.000 12.634
```

* total magnetic moment: 0.000 μB per cell
* space group: I4/mmm (139)
* formation energy: -1.99 eV per formula unit
* VASP energy: -49.67 eV for the cell shown

***

5.
This record from the Alexandria database describes a relaxed TbHg2Pd crystal. The functional is PBE-GGA.

```
TbHg2Pd
1.0
7.002 0.000 0.000
0.000 7.002 0.000
0.000 0.000 7.002
Tb Hg Pd
4 8 4
Cartesian
0.000 0.000 0.000
0.000 3.501 3.501
3.501 0.000 3.501
3.501 3.501 0.000
1.750 1.750 1.750
1.750 1.750 5.251
1.750 5.251 1.750
1.750 5.251 5.251
5.251 1.750 1.750
5.251 1.750 5.251
5.251 5.251 1.750
5.251 5.251 5.251
0.000 0.000 3.501
0.000 3.501 0.000
3.501 0.000 0.000
3.501 3.501 3.501
```

* total magnetic moment: 0.000 μB per cell
* space group: Fm-3m (225)
* formation energy: -1.82 eV per formula unit
* VASP energy: -49.00 eV for the cell shown

***

6.
This record from the Alexandria database describes a relaxed Tb3HgPd5 crystal. The functional is PBE-GGA.

```
Tb3HgPd5
1.0
8.499 0.000 0.000
-4.249 7.360 0.000
0.000 0.000 5.832
Tb Hg Pd
6 2 10
Cartesian
-1.515 2.624 1.458
-2.735 4.736 4.374
3.029 0.000 1.458
1.515 2.624 4.374
5.469 0.000 4.374
2.735 4.736 1.458
0.000 0.000 0.000
0.000 0.000 2.916
-1.349 2.336 4.374
-2.901 5.024 1.458
2.697 0.000 4.374
1.349 2.336 1.458
0.000 4.907 0.000
0.000 4.907 2.916
4.249 2.453 0.000
4.249 2.453 2.916
5.801 0.000 1.458
2.901 5.024 4.374
```

* total magnetic moment: 0.000 μB per cell
* space group: P6_3/mcm (193)
* formation energy: -7.02 eV per formula unit
* VASP energy: -94.36 eV for the cell shown

***

7.
This record from the Alexandria database describes a relaxed Tb3HgPd6 crystal. The functional is PBE-GGA.

```
Tb3HgPd6
1.0
5.523 -8.292 0.000
5.523 8.292 0.000
0.000 0.000 4.496
Tb Hg Pd
6 2 12
Cartesian
5.523 6.781 2.248
3.652 1.740 0.011
3.652 -1.740 2.259
7.394 1.740 0.011
7.394 -1.740 2.259
5.523 -6.781 0.000
5.523 3.478 2.248
5.523 -3.478 0.000
2.667 3.408 2.272
1.862 0.824 2.251
5.523 5.118 4.494
1.862 -0.824 0.003
2.667 -3.408 0.024
5.523 0.734 2.259
5.523 -0.734 0.012
8.379 3.408 2.272
9.184 0.824 2.251
5.523 -5.118 2.246
9.184 -0.824 0.003
8.379 -3.408 0.024
```

* total magnetic moment: 0.000 μB per cell
* space group: Cmc2_1 (36)
* formation energy: -6.85 eV per formula unit
* VASP energy: -104.39 eV for the cell shown

***

8.
This record from the Alexandria database describes a relaxed TbHg5Pd6 crystal. The functional is PBE-GGA.

```
TbHg5Pd6
1.0
4.881 0.000 0.000
0.000 6.363 0.000
-0.940 0.000 7.168
Tb Hg Pd
1 5 6
Cartesian
0.000 0.000 0.000
0.000 3.181 0.000
1.060 3.181 4.785
1.090 0.000 4.798
2.851 0.000 2.369
2.881 3.181 2.382
0.424 1.604 2.404
0.424 4.759 2.404
2.441 1.636 0.000
2.441 4.727 0.000
3.517 1.604 4.764
3.517 4.759 4.764
```

* total magnetic moment: 0.000 μB per cell
* space group: P2/m (10)
* formation energy: -4.07 eV per formula unit
* VASP energy: -41.37 eV for the cell shown

***

9.
This record from the Alexandria database describes a relaxed Tb5Hg2Pd2 crystal. The functional is PBE-GGA.

```
Tb5Hg2Pd2
1.0
7.791 -3.659 0.000
7.791 3.659 0.000
0.000 0.000 8.219
Tb Hg Pd
10 4 4
Cartesian
0.000 0.000 0.000
5.811 2.433 5.567
5.811 1.226 1.458
9.772 2.433 5.567
9.772 1.226 1.458
7.791 0.000 4.109
5.811 -1.226 6.761
5.811 -2.433 2.652
9.772 -1.226 6.761
9.772 -2.433 2.652
3.296 0.000 0.000
4.496 0.000 4.109
11.087 0.000 4.109
12.287 0.000 0.000
7.791 2.725 3.049
7.791 0.934 7.158
7.791 -0.934 1.060
7.791 -2.725 5.170
```

* total magnetic moment: 0.000 μB per cell
* space group: Cmce (64)
* formation energy: -5.28 eV per formula unit
* VASP energy: -78.83 eV for the cell shown

***

10.
This record from the Alexandria database describes a relaxed Tb4HgPd crystal. The functional is PBE-GGA.

```
Tb4HgPd
1.0
0.000 6.853 6.853
6.853 0.000 6.853
6.853 6.853 0.000
Tb Hg Pd
16 4 4
Cartesian
6.853 6.853 2.540
6.853 2.540 6.853
11.165 6.853 6.853
5.398 5.398 5.398
8.308 8.308 5.398
8.308 5.398 8.308
10.279 10.279 7.680
10.279 7.680 10.279
12.878 10.279 10.279
2.540 6.853 6.853
6.853 11.165 6.853
6.853 6.853 11.165
5.398 8.308 8.308
7.680 10.279 10.279
10.279 12.878 10.279
10.279 10.279 12.878
2.241 2.241 2.241
4.612 4.612 2.241
4.612 2.241 4.612
2.241 4.612 4.612
8.286 5.419 5.419
5.419 8.286 5.419
5.419 5.419 8.286
8.286 8.286 8.286
```

* total magnetic moment: 0.000 μB per cell
* space group: F-43m (216)
* formation energy: -2.97 eV per formula unit
* VASP energy: -107.96 eV for the cell shown
* relative energy among the computed polymorphs: 0 meV per atom

***

11.
This record from the Alexandria database describes a relaxed Tb6HgPd crystal. The functional is PBE-GGA.

```
Tb6HgPd
1.0
5.119 0.000 0.000
0.000 5.119 0.000
0.000 0.000 17.207
Tb Hg Pd
12 2 2
Cartesian
0.000 0.000 4.288
0.000 0.000 12.919
0.000 2.560 1.813
0.000 2.560 6.791
0.000 2.560 10.417
0.000 2.560 15.394
2.560 0.000 1.813
2.560 0.000 6.791
2.560 0.000 10.417
2.560 0.000 15.394
2.560 2.560 4.316
2.560 2.560 12.891
0.000 0.000 0.000
2.560 2.560 8.604
0.000 0.000 8.604
2.560 2.560 0.000
```

* total magnetic moment: 0.001 μB per cell
* space group: I4/mmm (139)
* formation energy: -2.26 eV per formula unit
* VASP energy: -71.07 eV for the cell shown
* relative energy among the computed polymorphs: 0 meV per atom

***

12.
This record from the Alexandria database describes a relaxed TbHg2Pd4 crystal. The functional is PBE-GGA.

```
TbHg2Pd4
1.0
5.765 0.000 0.000
-1.290 6.727 0.000
-2.745 -3.008 6.666
Tb Hg Pd
2 4 8
Cartesian
0.000 0.000 0.000
-1.228 3.107 3.960
0.292 4.866 1.969
1.634 2.388 1.067
0.330 1.067 5.808
3.125 0.494 3.066
-2.588 1.252 5.843
-1.256 -1.283 4.856
0.221 0.595 2.946
2.928 -0.004 0.101
1.622 -1.282 4.822
1.677 2.987 3.878
3.155 4.917 2.008
4.483 2.384 1.082
```

* total magnetic moment: 0.000 μB per cell
* space group: P1 (1)
* formation energy: -3.29 eV per formula unit
* VASP energy: -58.58 eV for the cell shown